Entry 1:
## MgCrSb (meta-GGA SCAN)

Data for a PBEsol-optimized structure of MgCrSb. Values from VASP.

Values from the calculation:
- calculated total energy (eV per cell) = -60.0
- raw formation energy (meV per atom) = 218.1
- calculated volume (Å³ per atom) = 17.42
- N(E_F) (states/eV per cell) = 1.20
- total moment (μB per atom) = 0.33

Geometry as Quantum ESPRESSO input:
```
&SYSTEM
  ibrav = 0, nat = 3, ntyp = 3
/
ATOMIC_SPECIES
Mg 24.30 Mg.upf
Cr 52.00 Cr.upf
Sb 121.76 Sb.upf
ATOMIC_POSITIONS crystal
Mg 0.000 0.000 0.000
Cr 0.328 0.328 0.000
Sb 0.694 0.694 0.000
CELL_PARAMETERS angstrom
-1.681 1.681 4.623
1.681 -1.681 4.623
1.681 1.681 -4.623
```

***

Entry 2:
## YZr2Co (meta-GGA SCAN)

Data for a PBEsol-optimized structure of YZr2Co. Values from VASP.

Values from the calculation:
- calculated total energy (eV per cell) = -106.5
- energy above the most stable polymorph in this dataset (eV/atom) = 0.000
- calculated volume (Å³ per atom) = 20.82
- N(E_F) (states/eV per cell) = 4.35
- total moment (μB per atom) = 0.00
- energy of formation from the pure elements (kJ/mol of atoms) = 0.2

Geometry as Quantum ESPRESSO input:
```
&SYSTEM
  ibrav = 0, nat = 4, ntyp = 3
/
ATOMIC_SPECIES
Y 88.91 Y.upf
Zr 91.22 Zr.upf
Co 58.93 Co.upf
ATOMIC_POSITIONS crystal
Y 0.000 0.000 0.000
Zr 0.605 0.605 0.606
Zr 0.803 0.803 0.275
Co 0.284 0.284 0.612
CELL_PARAMETERS angstrom
5.459 -1.630 0.000
5.459 1.630 0.000
-2.518 0.000 4.679
```

***

Entry 3:
## SnBi2P2 (meta-GGA SCAN)

Data for a PBEsol-optimized structure of SnBi2P2. Values from VASP.

Values from the calculation:
- calculated total energy (eV per cell) = -423.8
- calculated volume (Å³ per atom) = 23.69
- N(E_F) (states/eV per cell) = 4.74
- total moment (μB per atom) = 0.00
- energy of formation from the pure elements (kJ/mol of atoms) = 38.3

Geometry as Quantum ESPRESSO input:
```
&SYSTEM
  ibrav = 0, nat = 10, ntyp = 3
/
ATOMIC_SPECIES
Sn 118.71 Sn.upf
Bi 208.98 Bi.upf
P 30.97 P.upf
ATOMIC_POSITIONS crystal
Sn 0.000 0.000 0.000
Sn 0.500 0.500 0.000
Bi 0.156 0.344 0.500
Bi 0.344 0.844 0.500
Bi 0.656 0.156 0.500
Bi 0.844 0.656 0.500
P 0.161 0.661 0.000
P 0.339 0.161 0.000
P 0.661 0.839 0.000
P 0.839 0.339 0.000
CELL_PARAMETERS angstrom
7.874 0.000 0.000
0.000 7.874 0.000
0.000 0.000 3.820
```

***

Entry 4:
## Pr (meta-GGA SCAN)

Data for a PBEsol-optimized structure of Pr. Values from VASP.

Values from the calculation:
- calculated total energy (eV per cell) = -173.3
- energy above the most stable polymorph in this dataset (eV/atom) = 0.000
- calculated volume (Å³ per atom) = 33.88
- N(E_F) (states/eV per cell) = 4.80
- total moment (μB per atom) = 0.01
- energy of formation from the pure elements (kJ/mol of atoms) = 0.0

Geometry as Quantum ESPRESSO input:
```
&SYSTEM
  ibrav = 0, nat = 4, ntyp = 1
/
ATOMIC_SPECIES
Pr 140.91 Pr.upf
ATOMIC_POSITIONS crystal
Pr 0.000 0.000 0.000
Pr 0.000 0.000 0.500
Pr 0.333 0.667 0.250
Pr 0.667 0.333 0.750
CELL_PARAMETERS angstrom
3.647 0.000 0.000
-1.823 3.158 0.000
0.000 0.000 11.766
```

***

Entry 5:
## MgMo4Pb (meta-GGA SCAN)

Data for a PBEsol-optimized structure of MgMo4Pb. Values from VASP.

Values from the calculation:
- calculated total energy (eV per cell) = -217.2
- calculated volume (Å³ per atom) = 17.72
- N(E_F) (states/eV per cell) = 6.00
- total moment (μB per atom) = 0.00
- energy of formation from the pure elements (kJ/mol of atoms) = 49.9

Geometry as Quantum ESPRESSO input:
```
&SYSTEM
  ibrav = 0, nat = 6, ntyp = 3
/
ATOMIC_SPECIES
Mg 24.30 Mg.upf
Mo 95.94 Mo.upf
Pb 207.20 Pb.upf
ATOMIC_POSITIONS crystal
Mg 0.000 0.000 0.000
Mo 0.374 0.374 0.374
Mo 0.374 0.374 0.877
Mo 0.374 0.877 0.374
Mo 0.877 0.374 0.374
Pb 0.750 0.750 0.750
CELL_PARAMETERS angstrom
0.000 3.760 3.760
3.760 0.000 3.760
3.760 3.760 0.000
```

***

Entry 6:
## TaN2Cl (meta-GGA SCAN)

Data for a PBEsol-optimized structure of TaN2Cl. Values from VASP.

Values from the calculation:
- calculated total energy (eV per cell) = -88.0
- raw formation energy (meV per atom) = 1294.5
- calculated volume (Å³ per atom) = 10.46
- N(E_F) (states/eV per cell) = 3.69
- total moment (μB per atom) = 0.00

Geometry as Quantum ESPRESSO input:
```
&SYSTEM
  ibrav = 0, nat = 4, ntyp = 3
/
ATOMIC_SPECIES
Ta 180.95 Ta.upf
N 14.01 N.upf
Cl 35.45 Cl.upf
ATOMIC_POSITIONS crystal
Ta 0.000 0.000 0.000
N 0.250 0.250 0.250
N 0.750 0.750 0.750
Cl 0.500 0.500 0.500
CELL_PARAMETERS angstrom
0.000 2.755 2.755
2.755 0.000 2.755
2.755 2.755 0.000
```

***

Entry 7:
## Al2HgBr (meta-GGA SCAN)

Data for a PBEsol-optimized structure of Al2HgBr. Values from VASP.

Values from the calculation:
- calculated total energy (eV per cell) = -102.6
- energy above the most stable polymorph in this dataset (eV/atom) = 0.177
- raw formation energy (meV per atom) = 128.3
- calculated volume (Å³ per atom) = 21.41
- N(E_F) (states/eV per cell) = 1.28
- total moment (μB per atom) = 0.00

Geometry as Quantum ESPRESSO input:
```
&SYSTEM
  ibrav = 0, nat = 4, ntyp = 3
/
ATOMIC_SPECIES
Al 26.98 Al.upf
Hg 200.59 Hg.upf
Br 79.90 Br.upf
ATOMIC_POSITIONS crystal
Al 0.000 0.000 0.000
Al 0.782 0.282 0.500
Hg 0.549 0.549 0.000
Br 0.268 0.768 0.500
CELL_PARAMETERS angstrom
-1.634 2.475 5.294
1.634 -2.475 5.294
1.634 2.475 -5.294
```

***

Entry 8:
## Ta3MnH (meta-GGA SCAN)

Data for a PBEsol-optimized structure of Ta3MnH. Values from VASP.

Values from the calculation:
- calculated total energy (eV per cell) = -221.1
- energy above the most stable polymorph in this dataset (eV/atom) = 0.000
- calculated volume (Å³ per atom) = 13.78
- N(E_F) (states/eV per cell) = 4.29
- total moment (μB per atom) = 0.70

Geometry as Quantum ESPRESSO input:
```
&SYSTEM
  ibrav = 0, nat = 5, ntyp = 3
/
ATOMIC_SPECIES
Ta 180.95 Ta.upf
Mn 54.94 Mn.upf
H 1.01 H.upf
ATOMIC_POSITIONS crystal
Ta 0.000 0.000 0.500
Ta 0.000 0.500 0.000
Ta 0.500 0.000 0.000
Mn 0.500 0.500 0.500
H 0.000 0.000 0.000
CELL_PARAMETERS angstrom
4.099 0.000 0.000
0.000 4.099 0.000
0.000 0.000 4.099
```

***

Entry 9:
## Mo2NCl (meta-GGA SCAN)

Data for a PBEsol-optimized structure of Mo2NCl. Values from VASP.

Values from the calculation:
- calculated total energy (eV per cell) = -172.6
- raw formation energy (meV per atom) = 184.5
- calculated volume (Å³ per atom) = 14.53
- N(E_F) (states/eV per cell) = 2.14
- total moment (μB per atom) = 0.00

Geometry as Quantum ESPRESSO input:
```
&SYSTEM
  ibrav = 0, nat = 8, ntyp = 3
/
ATOMIC_SPECIES
Mo 95.94 Mo.upf
N 14.01 N.upf
Cl 35.45 Cl.upf
ATOMIC_POSITIONS crystal
Mo 0.046 0.625 0.921
Mo 0.375 0.296 0.421
Mo 0.704 0.125 0.079
Mo 0.875 0.954 0.579
N 0.000 0.000 0.000
N 0.750 0.250 0.500
Cl 0.250 0.750 0.500
Cl 0.500 0.500 0.000
CELL_PARAMETERS angstrom
-2.161 2.161 6.225
2.161 -2.161 6.225
2.161 2.161 -6.225
```

***

Entry 10:
## La2InCu (meta-GGA SCAN)

Data for a PBEsol-optimized structure of La2InCu. Values from VASP.

Values from the calculation:
- calculated total energy (eV per cell) = -136.4
- calculated volume (Å³ per atom) = 26.04
- N(E_F) (states/eV per cell) = 3.82
- total moment (μB per atom) = 0.00
- energy of formation from the pure elements (kJ/mol of atoms) = -38.5

Geometry as Quantum ESPRESSO input:
```
&SYSTEM
  ibrav = 0, nat = 4, ntyp = 3
/
ATOMIC_SPECIES
La 138.91 La.upf
In 114.82 In.upf
Cu 63.55 Cu.upf
ATOMIC_POSITIONS crystal
La 0.000 0.000 0.221
La 0.000 0.000 0.779
In 0.500 0.500 0.500
Cu 0.500 0.500 0.000
CELL_PARAMETERS angstrom
3.680 0.000 0.000
0.000 3.680 0.000
0.000 0.000 7.689
```

***

Entry 11:
## Cr3SiOs (meta-GGA SCAN)

Data for a PBEsol-optimized structure of Cr3SiOs. Values from VASP.

Values from the calculation:
- calculated total energy (eV per cell) = -131.0
- raw formation energy (meV per atom) = 1215.9
- calculated volume (Å³ per atom) = 19.22
- N(E_F) (states/eV per cell) = 2.86
- total moment (μB per atom) = 1.89

Geometry as Quantum ESPRESSO input:
```
&SYSTEM
  ibrav = 0, nat = 5, ntyp = 3
/
ATOMIC_SPECIES
Cr 52.00 Cr.upf
Si 28.09 Si.upf
Os 190.23 Os.upf
ATOMIC_POSITIONS crystal
Cr 0.000 0.000 0.500
Cr 0.000 0.500 0.000
Cr 0.500 0.000 0.000
Si 0.500 0.500 0.500
Os 0.000 0.000 0.000
CELL_PARAMETERS angstrom
4.581 0.000 0.000
0.000 4.581 0.000
0.000 0.000 4.581
```

***

Entry 12:
## MgTa3Al (meta-GGA SCAN)

Data for a PBEsol-optimized structure of MgTa3Al. Values from VASP.

Values from the calculation:
- calculated total energy (eV per cell) = -206.2
- calculated volume (Å³ per atom) = 20.87
- N(E_F) (states/eV per cell) = 1.31
- total moment (μB per atom) = 0.00
- energy of formation from the pure elements (kJ/mol of atoms) = 121.2

Geometry as Quantum ESPRESSO input:
```
&SYSTEM
  ibrav = 0, nat = 5, ntyp = 3
/
ATOMIC_SPECIES
Mg 24.30 Mg.upf
Ta 180.95 Ta.upf
Al 26.98 Al.upf
ATOMIC_POSITIONS crystal
Mg 0.000 0.000 0.000
Ta 0.000 0.500 0.500
Ta 0.500 0.000 0.500
Ta 0.500 0.500 0.000
Al 0.500 0.500 0.500
CELL_PARAMETERS angstrom
4.708 0.000 0.000
0.000 4.708 0.000
0.000 0.000 4.708
```

***

Entry 13:
## KLa2Tl (meta-GGA SCAN)

Data for a PBEsol-optimized structure of KLa2Tl. Values from VASP.

Values from the calculation:
- calculated total energy (eV per cell) = -167.0
- energy above the most stable polymorph in this dataset (eV/atom) = 0.076
- calculated volume (Å³ per atom) = 32.42
- N(E_F) (states/eV per cell) = 2.59
- total moment (μB per atom) = 0.00
- energy of formation from the pure elements (kJ/mol of atoms) = -2.3

Geometry as Quantum ESPRESSO input:
```
&SYSTEM
  ibrav = 0, nat = 4, ntyp = 3
/
ATOMIC_SPECIES
K 39.10 K.upf
La 138.91 La.upf
Tl 204.38 Tl.upf
ATOMIC_POSITIONS crystal
K 0.000 0.000 0.000
La 0.500 0.500 0.000
La 0.750 0.250 0.500
Tl 0.250 0.750 0.500
CELL_PARAMETERS angstrom
-2.453 2.453 5.387
2.453 -2.453 5.387
2.453 2.453 -5.387
```

***

Entry 14:
## Lu2TcAg (meta-GGA SCAN)

Data for a PBEsol-optimized structure of Lu2TcAg. Values from VASP.

Values from the calculation:
- calculated total energy (eV per cell) = -178.2
- calculated volume (Å³ per atom) = 19.31
- N(E_F) (states/eV per cell) = 1.90
- total moment (μB per atom) = 0.00
- energy of formation from the pure elements (kJ/mol of atoms) = -27.0

Geometry as Quantum ESPRESSO input:
```
&SYSTEM
  ibrav = 0, nat = 4, ntyp = 3
/
ATOMIC_SPECIES
Lu 174.97 Lu.upf
Tc 98.00 Tc.upf
Ag 107.87 Ag.upf
ATOMIC_POSITIONS crystal
Lu 0.250 0.250 0.250
Lu 0.750 0.750 0.750
Tc 0.000 0.000 0.000
Ag 0.500 0.500 0.500
CELL_PARAMETERS angstrom
0.000 3.380 3.380
3.380 0.000 3.380
3.380 3.380 0.000
```

***

Entry 15:
## RbMnCuS2 (meta-GGA SCAN)

Data for a PBEsol-optimized structure of RbMnCuS2. Values from VASP.

Values from the calculation:
- calculated total energy (eV per cell) = -78.6
- raw formation energy (meV per atom) = -1028.8
- calculated volume (Å³ per atom) = 20.56
- total moment (μB per atom) = 1.00

Geometry as Quantum ESPRESSO input:
```
&SYSTEM
  ibrav = 0, nat = 5, ntyp = 4
/
ATOMIC_SPECIES
Rb 85.47 Rb.upf
Mn 54.94 Mn.upf
Cu 63.55 Cu.upf
S 32.06 S.upf
ATOMIC_POSITIONS crystal
Rb 0.000 0.000 0.000
Mn 0.750 0.250 0.500
Cu 0.250 0.750 0.500
S 0.351 0.351 0.000
S 0.649 0.649 0.000
CELL_PARAMETERS angstrom
-1.955 1.955 6.726
1.955 -1.955 6.726
1.955 1.955 -6.726
```

***

Entry 16:
## IrBrN2 (meta-GGA SCAN)

Data for a PBEsol-optimized structure of IrBrN2. Values from VASP.

Values from the calculation:
- calculated total energy (eV per cell) = -101.7
- energy above the most stable polymorph in this dataset (eV/atom) = 0.000
- raw formation energy (meV per atom) = 1871.6
- calculated volume (Å³ per atom) = 13.22
- N(E_F) (states/eV per cell) = 2.45
- total moment (μB per atom) = 0.00

Geometry as Quantum ESPRESSO input:
```
&SYSTEM
  ibrav = 0, nat = 4, ntyp = 3
/
ATOMIC_SPECIES
Ir 192.22 Ir.upf
Br 79.90 Br.upf
N 14.01 N.upf
ATOMIC_POSITIONS crystal
Ir 0.000 0.000 0.000
Br 0.500 0.500 0.500
N 0.094 0.094 0.094
N 0.906 0.906 0.906
CELL_PARAMETERS angstrom
1.526 0.881 6.558
-1.526 0.881 6.558
0.000 -1.762 6.558
```

***

Entry 17:
## KFeP2S (meta-GGA SCAN)

Data for a PBEsol-optimized structure of KFeP2S. Values from VASP.

Values from the calculation:
- calculated total energy (eV per cell) = -46.2
- raw formation energy (meV per atom) = 2137.8
- calculated volume (Å³ per atom) = 25.50
- N(E_F) (states/eV per cell) = 4.49
- total moment (μB per atom) = 0.72

Geometry as Quantum ESPRESSO input:
```
&SYSTEM
  ibrav = 0, nat = 5, ntyp = 4
/
ATOMIC_SPECIES
K 39.10 K.upf
Fe 55.84 Fe.upf
P 30.97 P.upf
S 32.06 S.upf
ATOMIC_POSITIONS crystal
K 0.000 0.000 0.000
Fe 0.500 0.500 0.500
P 0.000 0.500 0.000
P 0.500 0.000 0.000
S 0.000 0.000 0.500
CELL_PARAMETERS angstrom
5.001 0.000 0.000
0.000 5.001 0.000
0.000 0.000 5.098
```

***

Entry 18:
## In2W (meta-GGA SCAN)

Data for a PBEsol-optimized structure of In2W. Values from VASP.

Values from the calculation:
- calculated total energy (eV per cell) = -134.4
- calculated volume (Å³ per atom) = 19.78
- N(E_F) (states/eV per cell) = 1.78
- total moment (μB per atom) = 0.00
- energy of formation from the pure elements (kJ/mol of atoms) = 65.6

Geometry as Quantum ESPRESSO input:
```
&SYSTEM
  ibrav = 0, nat = 3, ntyp = 2
/
ATOMIC_SPECIES
In 114.82 In.upf
W 183.84 W.upf
ATOMIC_POSITIONS crystal
In 0.153 0.153 0.000
In 0.847 0.847 0.000
W 0.500 0.500 0.000
CELL_PARAMETERS angstrom
-1.446 1.446 7.099
1.446 -1.446 7.099
1.446 1.446 -7.099
```

***

Entry 19:
## BaAlN2 (meta-GGA SCAN)

Data for a PBEsol-optimized structure of BaAlN2. Values from VASP.

Values from the calculation:
- calculated total energy (eV per cell) = -66.2
- raw formation energy (meV per atom) = -77.6
- calculated volume (Å³ per atom) = 23.04
- N(E_F) (states/eV per cell) = 2.72
- total moment (μB per atom) = 0.25

Geometry as Quantum ESPRESSO input:
```
&SYSTEM
  ibrav = 0, nat = 4, ntyp = 3
/
ATOMIC_SPECIES
Ba 137.33 Ba.upf
Al 26.98 Al.upf
N 14.01 N.upf
ATOMIC_POSITIONS crystal
Ba 0.000 0.000 0.000
Al 0.500 0.500 0.500
N 0.406 0.406 0.406
N 0.594 0.594 0.594
CELL_PARAMETERS angstrom
2.065 1.192 6.241
-2.065 1.192 6.241
0.000 -2.384 6.241
```

***

Entry 20:
## Li2CoCu (meta-GGA SCAN)

Data for a PBEsol-optimized structure of Li2CoCu. Values from VASP.

Values from the calculation:
- calculated total energy (eV per cell) = -36.7
- calculated volume (Å³ per atom) = 11.87
- N(E_F) (states/eV per cell) = 1.76
- total moment (μB per atom) = 0.41
- energy of formation from the pure elements (kJ/mol of atoms) = 14.2

Geometry as Quantum ESPRESSO input:
```
&SYSTEM
  ibrav = 0, nat = 4, ntyp = 3
/
ATOMIC_SPECIES
Li 6.94 Li.upf
Co 58.93 Co.upf
Cu 63.55 Cu.upf
ATOMIC_POSITIONS crystal
Li 0.000 0.000 0.000
Li 0.239 0.239 0.757
Co 0.751 0.751 0.280
Cu 0.491 0.491 0.473
CELL_PARAMETERS angstrom
4.244 -1.200 0.000
4.244 1.200 0.000
-0.515 0.000 4.658
```